[1]
A plane-wave DFT calculation with PBE was carried out for a relaxed structure of TiMnPt3.

abc: 4.3678 5.4216 7.0224
angles: 90.00 90.00 90.00
Closest atoms and distances in Å follow each position.
Element x y z (fractional)
Ti1 0.7500 0.2500 0.2212  6 Pt 2.61-2.77, 2 Mn 2.81
Ti2 0.2500 0.7500 0.7788  6 Pt 2.61-2.77, 2 Mn 2.81
Mn1 0.7500 0.7500 0.3272  7 Pt 2.42-2.58
Mn2 0.2500 0.2500 0.6728  7 Pt 2.42-2.58
Pt1 0.7500 0.7500 0.9826  1 Mn 2.42, 2 Ti 2.61
Pt2 0.2500 0.2500 0.0174  1 Mn 2.42, 2 Ti 2.61
Pt3 0.7500 0.0026 0.6352  3 Mn 2.56-2.58, 3 Pt 2.68-2.80, 2 Ti 2.77
Pt4 0.7500 0.4974 0.6352  3 Mn 2.56-2.58, 3 Pt 2.68-2.80, 2 Ti 2.77
Pt5 0.2500 0.9974 0.3648  3 Mn 2.56-2.58, 3 Pt 2.68-2.80, 2 Ti 2.77
Pt6 0.2500 0.5026 0.3648  3 Mn 2.56-2.58, 3 Pt 2.68-2.80, 2 Ti 2.77

Results
- Calculated volume: 83.15 Å³/f.u.
- Raw total energy: -7.39 eV/atom
- ΔH_f (0 K): -353 meV/atom

---

[2]
A plane-wave DFT calculation with PBE was carried out for a relaxed structure of Nb3NiS6.

abc: 5.8146 5.8146 11.9098
angles: 90.00 90.00 120.00
Closest atoms and distances in Å follow each position.
Element x y z (fractional)
Nb1 0.0000 0.0000 0.0000  6 S 2.49
Nb2 0.0000 0.0000 0.5000  6 S 2.49
Nb3 0.3333 0.6667 0.5024  6 S 2.48-2.51
Nb4 0.6667 0.3333 0.0024  6 S 2.48-2.51
Nb5 0.6667 0.3333 0.4976  6 S 2.48-2.51
Nb6 0.3333 0.6667 0.9976  6 S 2.48-2.51
Ni1 0.3333 0.6667 0.2500  6 S 2.39
Ni2 0.6667 0.3333 0.7500  6 S 2.39
S1 0.3324 0.9992 0.1319  1 Ni 2.39, 3 Nb 2.48-2.51
S2 0.0008 0.3332 0.1319  1 Ni 2.39, 3 Nb 2.48-2.51
S3 0.6676 0.0008 0.6319  1 Ni 2.39, 3 Nb 2.48-2.51
S4 0.9992 0.3324 0.8681  1 Ni 2.39, 3 Nb 2.48-2.51
S5 0.6668 0.6676 0.1319  1 Ni 2.39, 3 Nb 2.48-2.51
S6 0.9992 0.6668 0.6319  1 Ni 2.39, 3 Nb 2.48-2.51
S7 0.3332 0.0008 0.8681  1 Ni 2.39, 3 Nb 2.48-2.51
S8 0.0008 0.6676 0.3681  1 Ni 2.39, 3 Nb 2.48-2.51
S9 0.3332 0.3324 0.6319  1 Ni 2.39, 3 Nb 2.48-2.51
S10 0.6668 0.9992 0.3681  1 Ni 2.39, 3 Nb 2.48-2.51
S11 0.6676 0.6668 0.8681  1 Ni 2.39, 3 Nb 2.48-2.51
S12 0.3324 0.3332 0.3681  1 Ni 2.39, 3 Nb 2.48-2.51

Results
- Calculated volume: 174.36 Å³/f.u.
- Raw total energy: -7.07 eV/atom
- E_form (uncorrected): -9.91 eV per formula unit

---

[3]
A plane-wave DFT calculation with PBE was carried out for a relaxed structure of PmTl5F8.

abc: 7.1473 7.1473 7.1473
angles: 112.09 112.09 104.35
Closest atoms and distances in Å follow each position.
Element x y z (fractional)
Pm1 0.2500 0.7500 0.5000  8 F 2.38-2.40
Tl1 0.8577 0.2293 0.8444  2 F 2.57-2.73
Tl2 0.7707 0.6151 0.6285  2 F 2.57-2.73
Tl3 0.3849 0.0133 0.1556  2 F 2.57-2.73
Tl4 0.5000 0.5000 0.0000  4 F 2.72
Tl5 0.9867 0.1423 0.3715  2 F 2.57-2.73
F1 0.0580 0.7593 0.1528  1 Pm 2.38, 1 Tl 2.57
F2 0.2407 0.3935 0.2987  1 Pm 2.38, 1 Tl 2.57
F3 0.5312 0.8067 0.3930  1 Pm 2.40
F4 0.1933 0.5863 0.7245  1 Pm 2.40
F5 0.8618 0.4688 0.2755  1 Pm 2.40
F6 0.0948 0.9420 0.7013  1 Pm 2.38, 1 Tl 2.57
F7 0.6065 0.9052 0.8472  1 Pm 2.38, 1 Tl 2.57
F8 0.4137 0.1382 0.6070  1 Pm 2.40

Results
- Calculated volume: 279.40 Å³/f.u.
- Raw total energy: -4.67 eV/atom
- E_form (uncorrected): -33.78 eV per formula unit

---

[4]
A plane-wave DFT calculation with PBE was carried out for a relaxed structure of AlHPd3.

abc: 4.5778 4.5778 4.5778
angles: 90.00 90.00 90.00
Closest atoms and distances in Å follow each position.
Element x y z (fractional)
H1 0.5000 0.5000 0.5000  12 Pd 3.24
Al1 0.0000 0.0000 0.0000  6 Pd 2.29
Pd1 0.0000 0.5000 0.0000  2 Al 2.29
Pd2 0.0000 0.0000 0.5000  2 Al 2.29
Pd3 0.5000 0.0000 0.0000  2 Al 2.29

Results
- Calculated volume: 95.93 Å³/f.u.
- Raw total energy: -3.83 eV/atom

---

[5]
A plane-wave DFT calculation with PBE was carried out for a relaxed structure of TbSm12Er2.

abc: 6.7631 6.7631 24.7658
angles: 90.00 90.00 63.71
Closest atoms and distances in Å follow each position.
Element x y z (fractional)
Tb1 0.5000 0.0000 0.0007  8 Sm 3.42-3.69, 2 Tb 3.57
Tb2 0.0000 0.5000 0.9993  8 Sm 3.42-3.69, 2 Tb 3.57
Sm1 0.5000 0.5000 0.8008  3 Sm 3.11-3.35
Sm2 0.0000 0.0000 0.8008  3 Sm 3.11-3.35
Sm3 0.7510 0.7490 0.8702  8 Sm 3.35-3.65, 2 Tb 3.66-3.69
Sm4 0.2514 0.7514 0.9245  2 Tb 3.42-3.43, 9 Sm 3.54-3.74
Sm5 0.0000 0.0000 0.3248  3 Sm 3.11-3.37
Sm6 0.2486 0.7486 0.0755  2 Tb 3.42-3.43, 9 Sm 3.54-3.74
Sm7 0.7725 0.2725 0.5604  5 Sm 3.04-3.37
Sm8 0.5000 0.5000 0.3248  3 Sm 3.11-3.37
Sm9 0.2490 0.2510 0.8702  8 Sm 3.35-3.65, 2 Tb 3.66-3.69
Sm10 0.7490 0.7510 0.1298  8 Sm 3.35-3.65, 2 Tb 3.66-3.69
Sm11 0.2673 0.2327 0.5866  7 Sm 3.30-3.62
Sm12 0.7275 0.2275 0.4396  5 Sm 3.04-3.37
Sm13 0.0000 0.0000 0.6752  3 Sm 3.11-3.37
Sm14 0.2327 0.2673 0.4134  7 Sm 3.30-3.62
Sm15 0.2510 0.2490 0.1298  8 Sm 3.35-3.65, 2 Tb 3.66-3.69
Sm16 0.7673 0.7327 0.4134  7 Sm 3.30-3.62
Sm17 0.7327 0.7673 0.5866  7 Sm 3.30-3.62
Sm18 0.0000 0.0000 0.1992  3 Sm 3.11-3.35
Sm19 0.2275 0.7275 0.5604  5 Sm 3.04-3.37
Sm20 0.5000 0.5000 0.6752  3 Sm 3.11-3.37
Sm21 0.7486 0.2486 0.9245  2 Tb 3.42-3.43, 9 Sm 3.54-3.74
Sm22 0.5000 0.5000 0.1992  3 Sm 3.11-3.35
Sm23 0.2725 0.7725 0.4396  5 Sm 3.04-3.37
Sm24 0.7514 0.2514 0.0755  2 Tb 3.42-3.43, 9 Sm 3.54-3.74
Er1 0.5000 0.0000 0.2697  2 Er 3.57, 10 Sm 3.65-3.89
Er2 0.0000 0.5000 0.2660  2 Er 3.57, 10 Sm 3.68-3.82
Er3 0.0000 0.5000 0.7303  2 Er 3.57, 10 Sm 3.65-3.89
Er4 0.5000 0.0000 0.7340  2 Er 3.57, 10 Sm 3.68-3.82

Results
- Calculated volume: 507.78 Å³/f.u.
- Raw total energy: -4.53 eV/atom
- ΔH_f (0 K): 163 meV/atom

---

[6]
A plane-wave DFT calculation with PBE was carried out for a relaxed structure of Cu2SiAs.

abc: 4.3939 4.3939 4.3939
angles: 60.00 60.00 60.00
Closest atoms and distances in Å follow each position.
Element x y z (fractional)
As1 0.5000 0.5000 0.5000  4 Cu 2.69, 4 Si 2.69
Cu1 0.0000 0.0000 0.0000  4 Si 2.69, 4 Cu 2.69
Cu2 0.7500 0.7500 0.7500  4 As 2.69, 4 Cu 2.69
Si1 0.2500 0.2500 0.2500  4 As 2.69, 4 Cu 2.69

Results
- Calculated volume: 59.98 Å³/f.u.
- Raw total energy: -4.17 eV/atom
- E_form (uncorrected): 1.57 eV per formula unit

---

[7]
A plane-wave DFT calculation with PBE was carried out for a relaxed structure of Ba3Sn2Pt7.

abc: 5.9085 5.9085 9.5192
angles: 71.92 71.92 60.00
Closest atoms and distances in Å follow each position.
Element x y z (fractional)
Ba1 0.0000 0.0000 0.0000  6 Sn 3.41, 12 Pt 3.65, 2 Ba 3.80
Ba2 0.8576 0.8576 0.4273  12 Pt 3.39-3.47, 3 Ba 3.65
Ba3 0.1424 0.1424 0.5727  12 Pt 3.39-3.47, 3 Ba 3.65
Sn1 0.6702 0.6702 0.9894  6 Pt 2.69-2.77
Sn2 0.3298 0.3298 0.0106  6 Pt 2.69-2.77
Pt1 0.5000 0.5000 0.5000  6 Pt 2.84
Pt2 0.9094 0.4252 0.2402  2 Sn 2.69-2.77, 3 Pt 2.84-2.86
Pt3 0.4252 0.9094 0.2402  2 Sn 2.69-2.77, 3 Pt 2.84-2.86
Pt4 0.4252 0.4252 0.2402  2 Sn 2.69-2.77, 3 Pt 2.84-2.86
Pt5 0.0906 0.5748 0.7598  2 Sn 2.69-2.77, 3 Pt 2.84-2.86
Pt6 0.5748 0.5748 0.7598  2 Sn 2.69-2.77, 3 Pt 2.84-2.86
Pt7 0.5748 0.0906 0.7598  2 Sn 2.69-2.77, 3 Pt 2.84-2.86

Results
- Calculated volume: 268.68 Å³/f.u.
- Raw total energy: -5.34 eV/atom
- ΔH_f (0 K): -673 meV/atom

---

[8]
A plane-wave DFT calculation with PBE was carried out for a relaxed structure of TlMoRu2.

abc: 5.1405 5.1405 5.1405
angles: 135.90 135.97 64.08
Closest atoms and distances in Å follow each position.
Element x y z (fractional)
Mo1 0.2501 0.7501 0.5000  8 Ru 2.73-2.91, 4 Tl 2.91
Ru1 0.9998 0.9998 0.0000  4 Tl 2.73, 4 Mo 2.91, 4 Ru 2.91
Ru2 0.7500 0.2500 0.5000  4 Mo 2.73, 4 Tl 2.91, 4 Ru 2.91
Tl1 0.5000 0.5000 0.0000  8 Ru 2.73-2.91, 4 Mo 2.91

Results
- Calculated volume: 64.81 Å³/f.u.
- Raw total energy: -7.45 eV/atom
- ΔH_f (0 K): 487 meV/atom

---

[9]
A plane-wave DFT calculation with PBE was carried out for a relaxed structure of Sn2BRhSe.

abc: 4.6537 4.4847 4.6537
angles: 90.00 90.00 90.00
Closest atoms and distances in Å follow each position.
Element x y z (fractional)
B1 0.0000 0.0000 0.0000  2 Se 2.24, 4 Sn 2.33
Rh1 0.5000 0.5000 0.5000  8 Sn 3.23, 4 Se 3.29
Sn1 0.0000 0.0000 0.5000  2 B 2.33
Sn2 0.5000 0.0000 0.0000  2 B 2.33
Se1 0.0000 0.5000 0.0000  2 B 2.24

Results
- Calculated volume: 97.12 Å³/f.u.
- Raw total energy: -4.37 eV/atom
- E_form (uncorrected): 3.66 eV per formula unit

---

[10]
A plane-wave DFT calculation with PBE was carried out for a relaxed structure of PtPb2Br.

abc: 3.5428 3.5672 8.8866
angles: 65.45 90.00 90.00
Closest atoms and distances in Å follow each position.
Element x y z (fractional)
Pb1 0.0000 0.9680 0.0375  4 Pt 3.04-3.05, 2 Br 3.39
Pb2 0.0000 0.5320 0.4625  4 Pt 3.04-3.05, 2 Br 3.39
Br1 0.5000 0.7500 0.7500  8 Pb 3.39-3.45, 4 Br 3.54-3.57
Pt1 0.5000 0.2500 0.2500  8 Pb 3.04-3.05

Results
- Calculated volume: 102.16 Å³/f.u.
- Raw total energy: -4.09 eV/atom
- E_form (uncorrected): -1.21 eV per formula unit

---

[11]
A plane-wave DFT calculation with PBE was carried out for a relaxed structure of GaCu4Sn.

abc: 5.0040 5.0040 5.0040
angles: 60.00 60.00 60.00
Closest atoms and distances in Å follow each position.
Element x y z (fractional)
Cu1 0.6254 0.6254 0.1237  6 Cu 2.49-2.51
Cu2 0.6254 0.1237 0.6254  6 Cu 2.49-2.51
Cu3 0.6254 0.6254 0.6254  6 Cu 2.49-2.51
Cu4 0.1237 0.6254 0.6254  6 Cu 2.49-2.51
Sn1 0.2500 0.2500 0.2500  12 Cu 2.93, 4 Ga 3.06
Ga1 0.0000 0.0000 0.0000  12 Cu 2.93, 4 Sn 3.06

Results
- Calculated volume: 88.60 Å³/f.u.
- Raw total energy: -3.87 eV/atom
- ΔH_f (0 K): 31 meV/atom

---

[12]
A plane-wave DFT calculation with PBE was carried out for a relaxed structure of Be3VTc.

abc: 3.9813 3.9813 3.9813
angles: 90.00 90.00 90.00
Closest atoms and distances in Å follow each position.
Element x y z (fractional)
Be1 0.0000 0.5000 0.0000  2 V 1.99
Be2 0.0000 0.0000 0.5000  2 V 1.99
Be3 0.5000 0.0000 0.0000  2 V 1.99
Tc1 0.5000 0.5000 0.5000  12 Be 2.82
V1 0.0000 0.0000 0.0000  6 Be 1.99

Results
- Calculated volume: 63.11 Å³/f.u.
- Raw total energy: -4.74 eV/atom
- ΔH_f (0 K): 1393 meV/atom